Record 1
A plane-wave DFT calculation with PBE-GGA was carried out for an optimized crystal structure of YMg2Cu6.

The value obtained for the formation energy is -0.03 eV/atom. The calculation puts the calculated total energy at -3.83 eV per atom. Its total magnetization is 0.00 μB/f.u.

It has space group Immm (No. 71), with a = 3.253 Å, b = 7.160 Å, c = 12.715 Å, α = 90.00°, β = 90.00° and γ = 90.00°. The asymmetric unit holds Y at (0.000, 0.000, 0.000), Mg at (0.000, 0.500, 0.141), Cu at (0.000, 0.171, 0.500) and Cu at (0.000, 0.317, 0.322).


Record 2
A plane-wave DFT calculation with PBE-GGA was carried out for an optimized crystal structure of RbRuW3.

The value obtained for the formation energy is 2.20 eV/atom. The calculation puts the calculated total energy at -7.62 eV per atom. Its total magnetization is 0.00 μB/f.u.

It has space group Pm-3m (No. 221), with a = 4.875 Å, b = 4.875 Å, c = 4.875 Å, α = 90.00°, β = 90.00° and γ = 90.00°. The asymmetric unit holds Rb at (0.000, 0.000, 0.000), Ru at (0.500, 0.500, 0.500) and W at (0.000, 0.500, 0.500).


Q: What is the formula in the first record?
A: YMg2Cu6


What did the first record say?
A plane-wave DFT calculation with PBE-GGA was carried out for an optimized crystal structure of YMg2Cu6.

The value obtained for the formation energy is -0.03 eV/atom. The calculation puts the calculated total energy at -3.83 eV per atom. Its total magnetization is 0.00 μB/f.u.

It has space group Immm (No. 71), with a = 3.253 Å, b = 7.160 Å, c = 12.715 Å, α = 90.00°, β = 90.00° and γ = 90.00°. The asymmetric unit holds Y at (0.000, 0.000, 0.000), Mg at (0.000, 0.500, 0.141), Cu at (0.000, 0.171, 0.500) and Cu at (0.000, 0.317, 0.322).